DFT (PBE) results for La2NdZrN4 after structural relaxation.

a b c (Å): 6.190 3.557 6.258
angles (deg): 90.00 109.00 90.00
Space group P2/m (No. 10)
One atom of each set of equivalent atoms:
La1 0.000 0.000 0.000 (multiplicity 1)
La2 0.500 0.500 0.000 (multiplicity 1)
Nd1 0.000 0.500 0.500 (multiplicity 1)
Zr1 0.500 0.000 0.500 (multiplicity 1)
N1 0.266 0.000 0.728 (multiplicity 2)
N2 0.275 0.500 0.277 (multiplicity 2)

Results
crystal system	monoclinic
M_tot	0.000	μB per cell
uncorrected formation energy	-1.407	eV per atom
E_tot	-8.466	eV/atom

DFT (PBE) results for LaNi2N4 after structural relaxation.

a b c (Å): 3.845 4.253 5.464
angles (deg): 112.74 108.93 90.03
Space group P-1 (No. 2)
One atom of each set of equivalent atoms:
La1 0.000 0.000 0.000 (multiplicity 1)
Ni1 0.382 0.366 0.730 (multiplicity 2)
N1 0.157 0.677 0.354 (multiplicity 2)
N2 0.342 0.810 0.622 (multiplicity 2)

Results
crystal system	triclinic
M_tot	0.000	μB per cell
uncorrected formation energy	-0.193	eV per atom
E_tot	-7.306	eV/atom

DFT (PBE) results for La12Ni3N5 after structural relaxation.

a b c (Å): 15.954 15.954 15.954
angles (deg): 90.00 90.00 90.00
Space group Ia-3d (No. 230)
One atom of each set of equivalent atoms:
La1 0.032 0.055 0.650 (multiplicity 96)
Ni1 0.000 0.250 0.125 (multiplicity 24)
N1 0.000 0.000 0.000 (multiplicity 16)
N2 0.000 0.250 0.375 (multiplicity 24)

Results
crystal system	cubic
M_tot	0.000	μB per cell
uncorrected formation energy	-0.657	eV per atom
E_tot	-6.562	eV/atom

DFT (PBE) results for LaNiN2 after structural relaxation.

a b c (Å): 3.9969 3.9969 16.0621
angles (deg): 90.00 90.00 120.00
Space group R-3m (No. 166, hexagonal axes)
One atom of each set of equivalent atoms:
La1 0.0000 0.0000 0.0000 (multiplicity 3)
Ni1 0.0000 0.0000 0.5000 (multiplicity 3)
N1 0.0000 0.0000 0.3946 (multiplicity 6)

Results
crystal system	trigonal
energy above the most stable polymorph in this dataset	0.000	eV per formula unit
M_tot	2.230	μB per cell
uncorrected formation energy	-0.276	eV per atom
E_tot	-7.116	eV/atom

DFT (PBE) results for LaNiN2 after structural relaxation.

a b c (Å): 4.814 4.814 10.110
angles (deg): 90.00 90.00 90.00
Space group I-42d (No. 122)
One atom of each set of equivalent atoms:
La1 0.000 0.000 0.000 (multiplicity 4)
Ni1 0.000 0.000 0.500 (multiplicity 4)
N1 0.155 0.250 0.625 (multiplicity 8)

Results
crystal system	tetragonal
energy above the most stable polymorph in this dataset	0.051	eV per formula unit
M_tot	0.000	μB per cell
uncorrected formation energy	-0.264	eV per atom
E_tot	-7.104	eV/atom

DFT (PBE) results for LaNiN2 after structural relaxation.

a b c (Å): 5.901 5.901 5.901
angles (deg): 90.00 90.00 90.00
Space group Fm-3m (No. 225)
One atom of each set of equivalent atoms:
La1 0.000 0.000 0.000 (multiplicity 4)
Ni1 0.000 0.000 0.500 (multiplicity 4)
N1 0.250 0.250 0.250 (multiplicity 8)

Results
crystal system	cubic
energy above the most stable polymorph in this dataset	2.013	eV per formula unit
M_tot	11.613	μB per cell
uncorrected formation energy	0.227	eV per atom
E_tot	-6.613	eV/atom